Be4Te: relaxed, PBE.

```
data_Be4Te
_cell_length_a 5.5551
_cell_length_b 5.5551
_cell_length_c 5.5551
_cell_angle_alpha 90.00
_cell_angle_beta 90.00
_cell_angle_gamma 90.00
_symmetry_space_group_name_H-M 'I m -3 m'
_symmetry_Int_Tables_number 229
_symmetry_space_group_name_Hall '-I 4 2 3'
loop_
_atom_site_label
_atom_site_type_symbol
_atom_site_fract_x
_atom_site_fract_y
_atom_site_fract_z
Be1 Be 0.2500 0.2500 0.2500
Te1 Te 0.0000 0.0000 0.0000
```

Output
- Crystal system: cubic
- ΔE_f (raw): 1.353 eV/atom
- Magnetization: 0.0 μB/cell

BeTe: relaxed, PBE.

```
data_BeTe
_cell_length_a 6.5686
_cell_length_b 6.5686
_cell_length_c 3.5262
_cell_angle_alpha 90.00
_cell_angle_beta 90.00
_cell_angle_gamma 120.00
_symmetry_space_group_name_H-M 'P -6 2 m'
_symmetry_Int_Tables_number 189
_symmetry_space_group_name_Hall 'P -6 -2'
loop_
_atom_site_label
_atom_site_type_symbol
_atom_site_fract_x
_atom_site_fract_y
_atom_site_fract_z
Be1 Be 0.0000 0.0000 0.0000
Be2 Be 0.3333 0.6667 0.5000
Te1 Te 0.0000 0.3633 0.0000
```

Output
- Crystal system: hexagonal
- ΔE_f (raw): 0.253 eV/atom
- Magnetization: 0.0 μB/cell

BeTe: relaxed, PBE.

```
data_BeTe
_cell_length_a 5.3592
_cell_length_b 5.3592
_cell_length_c 5.3592
_cell_angle_alpha 90.00
_cell_angle_beta 90.00
_cell_angle_gamma 90.00
_symmetry_space_group_name_H-M 'F m -3 m'
_symmetry_Int_Tables_number 225
_symmetry_space_group_name_Hall '-F 4 2 3'
loop_
_atom_site_label
_atom_site_type_symbol
_atom_site_fract_x
_atom_site_fract_y
_atom_site_fract_z
Be1 Be 0.0000 0.0000 0.0000
Te1 Te 0.0000 0.0000 0.5000
```

Output
- Crystal system: cubic
- ΔE_f (raw): 0.138 eV/atom
- Magnetization: 0.0 μB/cell

BeTe: relaxed, PBE.

```
data_BeTe
_cell_length_a 7.1456
_cell_length_b 7.3596
_cell_length_c 8.0842
_cell_angle_alpha 90.00
_cell_angle_beta 90.00
_cell_angle_gamma 90.00
_symmetry_space_group_name_H-M 'P 21 21 21'
_symmetry_Int_Tables_number 19
_symmetry_space_group_name_Hall 'P 2ac 2ab'
loop_
_atom_site_label
_atom_site_type_symbol
_atom_site_fract_x
_atom_site_fract_y
_atom_site_fract_z
Be1 Be 0.1277 0.0664 0.2538
Be2 Be 0.1545 0.6082 0.9696
Te1 Te 0.1696 0.4024 0.2100
Te2 Te 0.1941 0.1086 0.5537
```

Output
- Crystal system: orthorhombic
- ΔE_f (raw): -0.171 eV/atom
- Magnetization: 0.0 μB/cell

BeTe: relaxed, PBE.

```
data_BeTe
_cell_length_a 9.7061
_cell_length_b 9.7061
_cell_length_c 4.0462
_cell_angle_alpha 90.00
_cell_angle_beta 90.00
_cell_angle_gamma 120.00
_symmetry_space_group_name_H-M 'P 63/m'
_symmetry_Int_Tables_number 176
_symmetry_space_group_name_Hall '-P 6c'
loop_
_atom_site_label
_atom_site_type_symbol
_atom_site_fract_x
_atom_site_fract_y
_atom_site_fract_z
Be1 Be 0.0673 0.4197 0.2500
Te1 Te 0.0946 0.6896 0.2500
```

Output
- Crystal system: hexagonal
- ΔE_f (raw): -0.239 eV/atom
- Magnetization: 0.0 μB/cell

BeTe: relaxed, PBE.

```
data_BeTe
_cell_length_a 5.0386
_cell_length_b 5.0386
_cell_length_c 5.3386
_cell_angle_alpha 90.00
_cell_angle_beta 90.00
_cell_angle_gamma 90.00
_symmetry_space_group_name_H-M 'P 4/n m m'
_symmetry_Int_Tables_number 129
loop_
_symmetry_equiv_pos_as_xyz
'x,y,z'
'-x,-y,-z'
'-y+1/2,x,z'
'y+1/2,-x,-z'
'-x+1/2,-y+1/2,z'
'x+1/2,y+1/2,-z'
'y,-x+1/2,z'
'-y,x+1/2,-z'
'x+1/2,-y,-z'
'-x+1/2,y,z'
'-y,-x,-z'
'y,x,z'
'-x,y+1/2,-z'
'x,-y+1/2,z'
'y+1/2,x+1/2,-z'
'-y+1/2,-x+1/2,z'
loop_
_atom_site_label
_atom_site_type_symbol
_atom_site_fract_x
_atom_site_fract_y
_atom_site_fract_z
Be1 Be 0.2500 0.2500 0.0529
Te1 Te 0.2500 0.7500 0.0000
```

Output
- Crystal system: tetragonal
- ΔE_f (raw): 0.404 eV/atom
- Magnetization: 0.0 μB/cell

BeTe: relaxed, PBE.

```
data_BeTe
_cell_length_a 3.9650
_cell_length_b 3.9650
_cell_length_c 7.6557
_cell_angle_alpha 90.00
_cell_angle_beta 90.00
_cell_angle_gamma 120.00
_symmetry_space_group_name_H-M 'P -3 m 1'
_symmetry_Int_Tables_number 164
_symmetry_space_group_name_Hall '-P 3 2"'
loop_
_atom_site_label
_atom_site_type_symbol
_atom_site_fract_x
_atom_site_fract_y
_atom_site_fract_z
Be1 Be 0.3333 0.6667 0.1043
Te1 Te 0.3333 0.6667 0.7754
```

Output
- Crystal system: trigonal
- ΔE_f (raw): -0.287 eV/atom
- Magnetization: 0.0 μB/cell

BeTe: relaxed, PBE.

```
data_BeTe
_cell_length_a 6.9950
_cell_length_b 6.9950
_cell_length_c 6.9950
_cell_angle_alpha 90.00
_cell_angle_beta 90.00
_cell_angle_gamma 90.00
_symmetry_space_group_name_H-M 'P m -3 n'
_symmetry_Int_Tables_number 223
_symmetry_space_group_name_Hall '-P 4n 2 3'
loop_
_atom_site_label
_atom_site_type_symbol
_atom_site_fract_x
_atom_site_fract_y
_atom_site_fract_z
Be1 Be 0.0000 0.2500 0.5000
Te1 Te 0.0000 0.5000 0.2500
```

Output
- Crystal system: cubic
- ΔE_f (raw): -0.201 eV/atom
- Magnetization: 0.0 μB/cell

Be7Te6: relaxed, PBE.

```
data_Be7Te6
_cell_length_a 5.2651
_cell_length_b 5.2651
_cell_length_c 34.4099
_cell_angle_alpha 90.00
_cell_angle_beta 90.00
_cell_angle_gamma 120.00
_symmetry_space_group_name_H-M 'R -3 m'
_symmetry_Int_Tables_number 166
_symmetry_space_group_name_Hall '-R 3 2"'
loop_
_atom_site_label
_atom_site_type_symbol
_atom_site_fract_x
_atom_site_fract_y
_atom_site_fract_z
Be1 Be 0.0000 0.0000 0.0000
Be2 Be 0.0511 0.5255 0.5967
Te1 Te 0.0000 0.0000 0.2081
Te2 Te 0.0000 0.0000 0.3143
Te3 Te 0.0000 0.0000 0.4265
```

Output
- Crystal system: trigonal
- ΔE_f (raw): 0.272 eV/atom
- Magnetization: 0.0 μB/cell

BeTe: relaxed, PBE.

```
data_BeTe
_cell_length_a 6.8021
_cell_length_b 6.8021
_cell_length_c 3.5604
_cell_angle_alpha 90.00
_cell_angle_beta 90.00
_cell_angle_gamma 120.00
_symmetry_space_group_name_H-M 'P 6/m m m'
_symmetry_Int_Tables_number 191
_symmetry_space_group_name_Hall '-P 6 2'
loop_
_atom_site_label
_atom_site_type_symbol
_atom_site_fract_x
_atom_site_fract_y
_atom_site_fract_z
Be1 Be 0.0000 0.0000 0.0000
Be2 Be 0.3333 0.6667 0.5000
Te1 Te 0.0000 0.5000 0.0000
```

Output
- Crystal system: hexagonal
- ΔE_f (raw): 0.778 eV/atom
- Magnetization: 0.0 μB/cell

BeTe: relaxed, PBE.

```
data_BeTe
_cell_length_a 3.9928
_cell_length_b 3.9928
_cell_length_c 6.5901
_cell_angle_alpha 90.00
_cell_angle_beta 90.00
_cell_angle_gamma 120.00
_symmetry_space_group_name_H-M 'P 63 m c'
_symmetry_Int_Tables_number 186
_symmetry_space_group_name_Hall 'P 6c -2c'
loop_
_atom_site_label
_atom_site_type_symbol
_atom_site_fract_x
_atom_site_fract_y
_atom_site_fract_z
Be1 Be 0.3333 0.6667 0.0000
Te1 Te 0.3333 0.6667 0.3736
```

Output
- Crystal system: hexagonal
- ΔE_f (raw): -0.361 eV/atom
- Magnetization: 0.0 μB/cell

BeTe: relaxed, PBE.

```
data_BeTe
_cell_length_a 6.9036
_cell_length_b 6.9036
_cell_length_c 4.0178
_cell_angle_alpha 90.00
_cell_angle_beta 90.00
_cell_angle_gamma 90.00
_symmetry_space_group_name_H-M 'P 42/m n m'
_symmetry_Int_Tables_number 136
_symmetry_space_group_name_Hall '-P 4n 2n'
loop_
_atom_site_label
_atom_site_type_symbol
_atom_site_fract_x
_atom_site_fract_y
_atom_site_fract_z
Be1 Be 0.1699 0.1699 0.0000
Te1 Te 0.1891 0.8109 0.0000
```

Output
- Crystal system: tetragonal
- ΔE_f (raw): -0.304 eV/atom
- Magnetization: 0.0 μB/cell

BeTe: relaxed, PBE.

```
data_BeTe
_cell_length_a 15.2298
_cell_length_b 3.9145
_cell_length_c 3.9136
_cell_angle_alpha 90.00
_cell_angle_beta 90.79
_cell_angle_gamma 90.00
_symmetry_space_group_name_H-M 'C 1 2/m 1'
_symmetry_Int_Tables_number 12
_symmetry_space_group_name_Hall '-C 2y'
loop_
_atom_site_label
_atom_site_type_symbol
_atom_site_fract_x
_atom_site_fract_y
_atom_site_fract_z
Be1 Be 0.2500 0.0000 0.2502
Te1 Te 0.1492 0.0000 0.7446
```

Output
- Crystal system: monoclinic
- ΔE_f (raw): -0.268 eV/atom
- Magnetization: 0.0 μB/cell